(1)
Density functional theory data (meta-GGA SCAN) for a crystal of CuRePt2 relaxed with PBEsol.

POSCAR file:
```
CuRePt2
1.0
-1.9725 1.8629 -0.2982
-0.4952 -0.0950 2.6826
4.9903 5.4624 1.1145
Cu Pt Re
1 2 1
Direct
0.5000 0.5000 0.5000
0.0000 0.0000 0.2545
0.0000 0.0000 0.7455
0.5000 0.5000 0.0000
```



(2)
Density functional theory data (meta-GGA SCAN) for a crystal of CuRePt2 relaxed with PBEsol.

POSCAR file:
```
CuRePt2
1.0
2.7013 0.0000 0.0000
-1.3507 4.4602 -0.0074
0.0000 -0.7378 4.6624
Pt Cu Re
2 1 1
Direct
0.2508 0.5016 0.2519
0.7492 0.4984 0.7481
0.5000 0.0000 0.0000
0.0000 0.0000 0.5000
```



| no. | E_form (eV/atom) | polymorph energy (0 for the lowest one) (eV per atom) |
| --- | --- | --- |
| 1 | -0.196 | 0.000 |
| 2 | 0.023 | 0.218 |